DyYTmZr: optimized geometry, PBE.

abc: 5.4890 5.4890 5.4890
angles: 60.00 60.00 60.00
Atoms (fractional coordinates):
Dy1 0.0000 0.0000 0.0000
Y1 0.7500 0.7500 0.7500
Tm1 0.5000 0.5000 0.5000
Zr1 0.2500 0.2500 0.2500

Computed properties:
The value obtained for the total DFT energy (no corrections) is -5.813 eV per atom. For the energy of formation, the calculation gives 0.208 eV per atom. For the distance to the lowest polymorph of the same formula, the calculation gives 0.120 eV per atom.